VASP calculation (PBE) on crystalline AlBiCl at its relaxed geometry.

For the density of states at the Fermi level, the calculation gives 0.656 states/eV/f.u. The value obtained for the magnetization is 0.00 μB/f.u.

The structure belongs to space group Pmmn (No. 59, origin choice 2); the cell edges are 4.707, 5.623 and 6.915 Å and the angles 90.00°, 90.00° and 90.00°. The inequivalent atoms are Al at (0.250, 0.250, 0.206), Bi at (0.250, 0.750, 0.028) and Cl at (0.250, 0.250, 0.513).



VASP calculation (PBE) on crystalline AlBiCl6 at its relaxed geometry.

For the density of states at the Fermi level, the calculation gives 0.000 states/eV/f.u. The polymorph energy (0 for the lowest one) comes out at 0 meV per atom. The value obtained for the magnetization is 0.17 μB/f.u.

The structure belongs to space group P2_1/c (No. 14); the cell edges are 8.385, 12.015 and 12.331 Å and the angles 90.00°, 106.80° and 90.00°. The inequivalent atoms are Al at (0.008, 0.224, 0.280), Bi at (0.301, 0.534, 0.852), Cl at (0.034, 0.123, 0.428), Cl at (0.048, 0.102, 0.816), Cl at (0.187, 0.155, 0.199), Cl at (0.239, 0.716, 0.340), Cl at (0.482, 0.580, 0.732) and Cl at (0.493, 0.631, 0.048).



VASP calculation (PBE) on crystalline Al2Bi2Cl at its relaxed geometry.

For the density of states at the Fermi level, the calculation gives 3.411 states/eV/f.u. The polymorph energy (0 for the lowest one) comes out at 69 meV per atom. The value obtained for the magnetization is 0.00 μB/f.u.

The structure belongs to space group P4/mbm (No. 127); the cell edges are 8.618, 8.618 and 3.432 Å and the angles 90.00°, 90.00° and 90.00°. The inequivalent atoms are Al at (0.150, 0.350, 0.000), Bi at (0.147, 0.647, 0.500) and Cl at (0.000, 0.000, 0.000).



VASP calculation (PBE) on crystalline AlBiCl3 at its relaxed geometry.

For the density of states at the Fermi level, the calculation gives 4.367 states/eV/f.u. The value obtained for the magnetization is 0.00 μB/f.u.

The structure belongs to space group Pm-3m (No. 221); the cell edges are 5.613, 5.613 and 5.613 Å and the angles 90.00°, 90.00° and 90.00°. The inequivalent atoms are Al at (0.000, 0.000, 0.000), Bi at (0.500, 0.500, 0.500) and Cl at (0.000, 0.500, 0.500).



VASP calculation (PBE) on crystalline AlCu2BiCl at its relaxed geometry.

For the density of states at the Fermi level, the calculation gives 0.524 states/eV/f.u. The value obtained for the magnetization is 0.00 μB/f.u.

The structure belongs to space group P4/mmm (No. 123); the cell edges are 4.965, 4.965 and 5.835 Å and the angles 90.00°, 90.00° and 90.00°. The inequivalent atoms are Al at (0.000, 0.000, 0.000), Cu at (0.000, 0.500, 0.500), Bi at (0.000, 0.000, 0.500) and Cl at (0.500, 0.500, 0.000).



VASP calculation (PBE) on crystalline AlFeBiCl2 at its relaxed geometry.

For the density of states at the Fermi level, the calculation gives 4.904 states/eV/f.u. The value obtained for the magnetization is 2.71 μB/f.u.

The structure belongs to space group P4/mmm (No. 123); the cell edges are 4.463, 4.463 and 5.728 Å and the angles 90.00°, 90.00° and 90.00°. The inequivalent atoms are Al at (0.000, 0.000, 0.000), Fe at (0.500, 0.500, 0.500), Bi at (0.500, 0.500, 0.000) and Cl at (0.000, 0.500, 0.500).



no.,E_form (uncorrected) (kJ per mole of atoms)
1,-45
2,-122
3,7
4,-32
5,44
6,-1